[1]
First-principles (GGA-PBEsol) data for a geometry-optimized ScPSe3 structure, as listed in Alexandria via LeMat-Bulk.

ΔE_f (raw)   -0.213 eV/atom
N(E_F)   0.2715 states/eV per atom
Electronic total energy   -5.00 eV/atom

a b c (Å): 4.7410 4.7410 4.7410
angles (deg): 90.00 90.00 90.00
Closest atoms and distances in Å follow each position.
Space group Pm-3m (No. 221)
One atom of each set of equivalent atoms:
1 Sc 0.0000 0.0000 0.0000 x1  12 Se 3.35
2 P 0.5000 0.5000 0.5000 x1  6 Se 2.37
3 Se 0.0000 0.5000 0.5000 x3  2 P 2.37

[2]
First-principles (GGA-PBEsol) data for a geometry-optimized Na2LiInSb structure, as listed in Alexandria via LeMat-Bulk.

ΔE_f (raw)   0.326 eV/atom
N(E_F)   0.6108 states/eV per atom
Electronic total energy   -2.14 eV/atom

a b c (Å): 5.5085 5.5085 5.0845
angles (deg): 90.00 90.00 90.00
Closest atoms and distances in Å follow each position.
Space group P4/mmm (No. 123)
One atom of each set of equivalent atoms:
1 Na 0.0000 0.5000 0.0000 x2  2 In 2.75
2 Li 0.0000 0.0000 0.5000 x1  2 In 2.54
3 In 0.0000 0.0000 0.0000 x1  2 Li 2.54, 4 Na 2.75
4 Sb 0.5000 0.5000 0.5000 x1  8 Na 3.75, 4 Li 3.90

[3]
First-principles (GGA-PBEsol) data for a geometry-optimized SrAlCd2Co structure, as listed in Alexandria via LeMat-Bulk.

N(E_F)   0.9102 states/eV per atom
Formation energy from the elements   7.325 eV per formula unit
Electronic total energy   -1.75 eV/atom

a b c (Å): 5.8506 5.8506 4.8435
angles (deg): 90.00 90.00 90.00
Closest atoms and distances in Å follow each position.
Space group P4/mmm (No. 123)
One atom of each set of equivalent atoms:
1 Sr 0.0000 0.0000 0.0000 x1  2 Co 2.42
2 Al 0.5000 0.5000 0.5000 x1  8 Cd 3.80, 4 Co 4.14
3 Cd 0.0000 0.5000 0.0000 x2  2 Sr 2.93
4 Co 0.0000 0.0000 0.5000 x1  2 Sr 2.42

[4]
First-principles (GGA-PBEsol) data for a geometry-optimized LiCd2Hg2 structure, as listed in Alexandria via LeMat-Bulk.

N(E_F)   0.3738 states/eV per atom
Formation energy from the elements   -0.063 eV per formula unit
Electronic total energy   -1.11 eV/atom

a b c (Å): 4.2071 4.2071 13.5840
angles (deg): 90.00 90.00 90.00
Closest atoms and distances in Å follow each position.
Space group I4/mmm (No. 139)
One atom of each set of equivalent atoms:
1 Li 0.0000 0.0000 0.0000 x2  8 Cd 3.26
2 Cd 0.0000 0.0000 0.4012 x4  1 Cd 2.68, 4 Hg 2.94
3 Hg 0.0000 0.5000 0.2500 x4  4 Cd 2.94, 4 Hg 2.97

[5]
First-principles (GGA-PBEsol) data for a geometry-optimized Ta3HgH structure, as listed in Alexandria via LeMat-Bulk.

N(E_F)   0.9624 states/eV per atom
Electronic total energy   -8.24 eV/atom

a b c (Å): 4.1743 4.1743 4.1743
angles (deg): 90.00 90.00 90.00
Closest atoms and distances in Å follow each position.
Space group Pm-3m (No. 221)
One atom of each set of equivalent atoms:
1 Ta 0.0000 0.0000 0.5000 x3  2 H 2.09
2 Hg 0.5000 0.5000 0.5000 x1  12 Ta 2.95
3 H 0.0000 0.0000 0.0000 x1  6 Ta 2.09

[6]
First-principles (GGA-PBEsol) data for a geometry-optimized ReWAu2 structure, as listed in Alexandria via LeMat-Bulk.

N(E_F)   0.6415 states/eV per atom
Formation energy from the elements   1.631 eV per formula unit
Electronic total energy   -8.34 eV/atom

a b c (Å): 9.5535 2.7994 4.7854
angles (deg): 90.00 99.89 90.00
Closest atoms and distances in Å follow each position.
Space group C2/m (No. 12)
One atom of each set of equivalent atoms:
1 Re 0.0000 0.0000 0.0000 x2  4 W 2.77, 2 Re 2.80, 6 Au 2.84-2.86
2 W 0.0000 0.5000 0.5000 x2  4 Re 2.77, 2 W 2.80, 6 Au 2.84-2.85
3 Au 0.2492 0.5000 0.2503 x4  6 Au 2.77-2.80, 3 W 2.84-2.85, 3 Re 2.84-2.86

[7]
First-principles (GGA-PBEsol) data for a geometry-optimized ScTl2 structure, as listed in Alexandria via LeMat-Bulk.

N(E_F)   0.7159 states/eV per atom
Formation energy from the elements   -0.592 eV per formula unit
Electronic total energy   -4.15 eV/atom

a b c (Å): 10.4104 4.4607 6.3337
angles (deg): 90.00 107.24 90.00
Closest atoms and distances in Å follow each position.
Space group C2/m (No. 12)
One atom of each set of equivalent atoms:
1 Sc 0.1526 0.0000 0.3158 x4  10 Tl 3.10-3.46, 2 Sc 3.42
2 Tl 0.0000 0.5000 0.0000 x2  4 Sc 3.10, 8 Tl 3.17-3.30
3 Tl 0.0000 0.5000 0.5000 x2  6 Sc 3.16-3.46, 6 Tl 3.17-3.18
4 Tl 0.1750 0.0000 0.8161 x4  5 Sc 3.11-3.26, 7 Tl 3.18-3.30

[8]
First-principles (GGA-PBEsol) data for a geometry-optimized ZnHOsRu2 structure, as listed in Alexandria via LeMat-Bulk.

N(E_F)   1.2735 states/eV per atom
Electronic total energy   -6.34 eV/atom

a b c (Å): 4.6798 4.6798 2.8332
angles (deg): 90.00 90.00 90.00
Closest atoms and distances in Å follow each position.
Space group P4/mmm (No. 123)
One atom of each set of equivalent atoms:
1 Zn 0.0000 0.0000 0.0000 x1  2 H 1.42
2 H 0.0000 0.0000 0.5000 x1  2 Zn 1.42
3 Os 0.5000 0.5000 0.5000 x1  8 Ru 2.74, 2 Os 2.83
4 Ru 0.0000 0.5000 0.0000 x2  2 Zn 2.34